Density functional theory data (PBE) for Er5Te2Ir after structural relaxation.

Cell and atoms, written as POSCAR:
```
Er5Te2Ir
1.0
4.105 0.000 0.000
0.000 8.100 0.000
0.000 0.000 13.057
Er Te Ir
10 4 2
Direct
0.000 0.000 0.500
0.000 0.500 0.000
0.000 0.837 0.184
0.000 0.163 0.816
0.000 0.663 0.684
0.000 0.337 0.316
0.500 0.669 0.415
0.500 0.331 0.585
0.500 0.831 0.915
0.500 0.169 0.085
0.500 0.540 0.178
0.500 0.460 0.822
0.500 0.960 0.678
0.500 0.040 0.322
0.000 0.500 0.500
0.000 0.000 0.000
```

Computed properties:
Polymorph energy (0 for the lowest one) ... 0 meV/atom
Space-group type ... Pbam, No. 55
M_tot ... 0.0 μB per formula unit
Formation energy (no corrections) ... -0.885 eV per atom